[1]
First-principles (PBE) data for a relaxed structure of LaZrMn2Nb, as listed in the Alexandria database.

Lattice parameters (Å, degrees): 4.4937 4.4937 5.3637 90.00 90.00 90.00
With the nearest neighbours (Å) after each atom.
Fractional coordinates of all 5 atoms:
La  0.0000  0.0000  0.0000  2 Zr 2.68
Zr  0.0000  0.0000  0.5000  4 Mn 2.25
Mn  0.0000  0.5000  0.5000  2 Zr 2.25
Mn  0.5000  0.0000  0.5000  2 Zr 2.25
Nb  0.5000  0.5000  0.0000  4 La 3.18, 8 Mn 3.50

E_form: 1.73 eV/atom
crystal system: tetragonal
V: 108.3 Å³ per cell
symmetry: No. 123
total moment: 0.00 μB/f.u.


[2]
First-principles (PBE) data for a relaxed structure of MoWSe2, as listed in the Alexandria database.

Lattice parameters (Å, degrees): 3.0684 3.0684 8.1832 90.00 90.00 90.00
With the nearest neighbours (Å) after each atom.
Fractional coordinates of all 4 atoms:
Mo  0.0000  0.0000  0.0000  4 Se 2.59
W  0.5000  0.5000  0.7582  4 Se 2.62
Se  0.0000  0.0000  0.5797  4 W 2.62
Se  0.5000  0.5000  0.1731  4 Mo 2.59

crystal system: tetragonal
V: 77.0 Å³ per cell
ΔE_f (raw): -0.07 eV/atom
energy above the most stable polymorph in this dataset: 82 meV/atom
symmetry: No. 99
total moment: 0.00 μB/f.u.


[3]
First-principles (PBE) data for a relaxed structure of NaSrLiBi2, as listed in the Alexandria database.

Lattice parameters (Å, degrees): 6.1924 6.1924 6.0930 90.00 90.00 90.00
With the nearest neighbours (Å) after each atom.
Fractional coordinates of all 5 atoms:
Na  0.0000  0.0000  0.0000  2 Sr 3.05
Sr  0.0000  0.0000  0.5000  2 Na 3.05, 4 Bi 3.10
Li  0.5000  0.5000  0.0000  8 Bi 4.34, 4 Na 4.38
Bi  0.0000  0.5000  0.5000  2 Sr 3.10
Bi  0.5000  0.0000  0.5000  2 Sr 3.10

E_form: 0.32 eV/atom
crystal system: tetragonal
V: 233.6 Å³ per cell
energy above the most stable polymorph in this dataset: 208 meV/atom
symmetry: No. 123
total moment: 0.00 μB/f.u.


[4]
First-principles (PBE) data for a relaxed structure of Nb2NiSe, as listed in the Alexandria database.

Lattice parameters (Å, degrees): 9.1723 9.1723 9.1723 18.86 18.86 18.86
With the nearest neighbours (Å) after each atom.
Fractional coordinates of all 4 atoms:
Nb  0.0903  0.0903  0.0903  1 Ni 2.44, 3 Se 2.70
Nb  0.9097  0.9097  0.9097  1 Ni 2.44, 3 Se 2.70
Ni  0.0000  0.0000  0.0000  2 Nb 2.44
Se  0.5000  0.5000  0.5000  6 Nb 2.70, 6 Se 3.00

crystal system: trigonal
V: 70.4 Å³ per cell
ΔE_f (raw): 0.42 eV/atom
symmetry: No. 166
total moment: 0.00 μB/f.u.